Computed, not measured: Lu6Co2Sn at its PBEsol-relaxed geometry at the meta-GGA SCAN level of DFT.

abc: 8.0404 8.0404 8.0404
angles: 73.02 70.12 111.59
Positions (direct):
Co 0.5000 0.3843 0.1157
Lu 0.2104 0.2379 0.5517
Lu 0.7896 0.2379 0.9725
Lu 0.3115 0.9867 0.3248
Lu 0.2104 0.7621 0.0275
Sn 0.0000 0.5000 0.5000
Lu 0.5316 0.7159 0.1843
Lu 0.0999 0.2841 0.1843
Lu 0.4684 0.2841 0.8157
Lu 0.6885 0.3638 0.3248
Co 0.3430 0.0000 0.6570
Lu 0.3115 0.6362 0.6752
Lu 0.7896 0.7621 0.4483
Lu 0.6885 0.0133 0.6752
Co 0.5000 0.6157 0.8843
Lu 0.9001 0.7159 0.8157
Co 0.6570 0.0000 0.3430
Sn 0.0000 0.0000 0.0000

Results
Total energy (Ry per atom): -3.316